Computed, not measured: crystalline BaTbV2O8 at its relaxed geometry at the PBE+U level of DFT.

Unit cell a=5.7934 b=5.7934 c=7.6867 alpha=90.00 beta=90.00 gamma=120.00
Fractional positions:
Ba (0.0000, 0.0000, 0.0000)
Tb (0.0000, 0.0000, 0.5000)
V (0.3333, 0.6667, 0.7690)
V (0.6667, 0.3333, 0.2310)
O (0.1665, 0.3353, 0.6974)
O (0.1688, 0.8335, 0.6974)
O (0.3333, 0.6667, 0.9900)
O (0.3353, 0.1688, 0.3026)
O (0.6647, 0.8312, 0.6974)
O (0.6667, 0.3333, 0.0100)
O (0.8312, 0.1665, 0.3026)
O (0.8335, 0.6647, 0.3026)

Fermi-level density of states	10.15	states/eV/cell
SG	No. 147
energy	-89.5	eV for the cell shown